Material: Cd5Ir
Method: DFT, PBE
State: relaxed

abc: 5.407 5.407 5.118
angles: 90.00 90.00 120.00
Sites, in units of the cell vectors:
Ir 0.000 0.000 0.000
Cd 0.667 0.333 0.000
Cd 0.000 0.500 0.500
Cd 0.500 0.000 0.500
Cd 0.333 0.667 0.000
Cd 0.500 0.500 0.500

## Properties
final energy: -1.733 eV/atom
magnetization: 0.00 Bohr magnetons per cell
calculated formation energy: 0.5064 eV/atom